[1]
VASP calculation (PBE-GGA) on an optimized crystal structure of Ag3I2Br8.

As for the uncorrected energy: -2.06 eV/atom. The calculation puts the total magnetization at 0.00 μB per cell.

CIF file:
```
data_Ag3I2Br8
_cell_length_a 9.0911
_cell_length_b 9.0911
_cell_length_c 17.5917
_cell_angle_alpha 97.86
_cell_angle_beta 97.86
_cell_angle_gamma 50.79
_symmetry_space_group_name_H-M 'P 1'
_symmetry_Int_Tables_number 1
loop_
_symmetry_equiv_pos_as_xyz
'x,y,z'
loop_
_atom_site_label
_atom_site_type_symbol
_atom_site_fract_x
_atom_site_fract_y
_atom_site_fract_z
Ag1 Ag 0.1114 0.5206 0.5700
Ag2 Ag 0.1195 0.8805 0.7500
Ag3 Ag 0.4794 0.8886 0.9300
Ag4 Ag 0.5206 0.1114 0.0700
Ag5 Ag 0.8805 0.1195 0.2500
Ag6 Ag 0.8886 0.4794 0.4300
I1 I 0.0928 0.4461 0.8784
I2 I 0.4461 0.0928 0.3784
I3 I 0.5539 0.9072 0.6216
I4 I 0.9072 0.5539 0.1216
Br1 Br 0.0987 0.1111 0.3775
Br2 Br 0.1023 0.7628 0.8739
Br3 Br 0.1111 0.0987 0.8775
Br4 Br 0.2176 0.4741 0.4282
Br5 Br 0.2372 0.8977 0.6261
Br6 Br 0.2733 0.3549 0.1753
Br7 Br 0.3549 0.2733 0.6753
Br8 Br 0.4741 0.2176 0.9282
Br9 Br 0.5259 0.7824 0.0718
Br10 Br 0.6451 0.7267 0.3247
Br11 Br 0.7267 0.6451 0.8247
Br12 Br 0.7628 0.1023 0.3739
Br13 Br 0.7824 0.5259 0.5718
Br14 Br 0.8889 0.9013 0.1225
Br15 Br 0.8977 0.2372 0.1261
Br16 Br 0.9013 0.8889 0.6225
```

=====

[2]
VASP calculation (PBE-GGA) on an optimized crystal structure of Ag4IBr4.

As for the uncorrected energy: -2.44 eV/atom. The calculation puts the total magnetization at 0.00 μB per cell.

CIF file:
```
data_Ag4IBr4
_cell_length_a 7.8633
_cell_length_b 7.8633
_cell_length_c 8.9982
_cell_angle_alpha 90.00
_cell_angle_beta 90.00
_cell_angle_gamma 81.20
_symmetry_space_group_name_H-M 'P 1'
_symmetry_Int_Tables_number 1
loop_
_symmetry_equiv_pos_as_xyz
'x,y,z'
loop_
_atom_site_label
_atom_site_type_symbol
_atom_site_fract_x
_atom_site_fract_y
_atom_site_fract_z
Ag1 Ag 0.2078 0.7922 0.5352
Ag2 Ag 0.2078 0.7922 0.9648
Ag3 Ag 0.2245 0.3305 0.2500
Ag4 Ag 0.3305 0.2245 0.7500
Ag5 Ag 0.6695 0.7755 0.2500
Ag6 Ag 0.7755 0.6695 0.7500
Ag7 Ag 0.7922 0.2078 0.0352
Ag8 Ag 0.7922 0.2078 0.4648
I1 I 0.3401 0.6599 0.2500
I2 I 0.6599 0.3401 0.7500
Br1 Br 0.1323 0.5521 0.7500
Br2 Br 0.1550 0.1550 0.0000
Br3 Br 0.1550 0.1550 0.5000
Br4 Br 0.4479 0.8677 0.7500
Br5 Br 0.5521 0.1323 0.2500
Br6 Br 0.8450 0.8450 0.0000
Br7 Br 0.8450 0.8450 0.5000
Br8 Br 0.8677 0.4479 0.2500
```

=====

[3]
VASP calculation (PBE-GGA) on an optimized crystal structure of Ag2I3Br8.

As for the uncorrected energy: -1.90 eV/atom. The calculation puts the total magnetization at 0.00 μB per cell.

CIF file:
```
data_Ag2I3Br8
_cell_length_a 9.1247
_cell_length_b 9.1247
_cell_length_c 16.0753
_cell_angle_alpha 95.89
_cell_angle_beta 95.89
_cell_angle_gamma 57.74
_symmetry_space_group_name_H-M 'P 1'
_symmetry_Int_Tables_number 1
loop_
_symmetry_equiv_pos_as_xyz
'x,y,z'
loop_
_atom_site_label
_atom_site_type_symbol
_atom_site_fract_x
_atom_site_fract_y
_atom_site_fract_z
Ag1 Ag 0.0752 0.3437 0.1188
Ag2 Ag 0.3437 0.0752 0.6188
Ag3 Ag 0.6563 0.9248 0.3812
Ag4 Ag 0.9248 0.6563 0.8812
I1 I 0.1551 0.4201 0.3929
I2 I 0.2893 0.7107 0.7500
I3 I 0.4201 0.1551 0.8929
I4 I 0.5799 0.8449 0.1071
I5 I 0.7107 0.2893 0.2500
I6 I 0.8449 0.5799 0.6071
Br1 Br 0.0046 0.2318 0.6035
Br2 Br 0.0666 0.3223 0.8931
Br3 Br 0.2215 0.6488 0.8981
Br4 Br 0.2318 0.0046 0.1035
Br5 Br 0.3223 0.0666 0.3931
Br6 Br 0.3382 0.3542 0.6603
Br7 Br 0.3512 0.7785 0.6019
Br8 Br 0.3542 0.3382 0.1603
Br9 Br 0.6458 0.6618 0.8397
Br10 Br 0.6488 0.2215 0.3981
Br11 Br 0.6618 0.6458 0.3397
Br12 Br 0.6777 0.9334 0.6069
Br13 Br 0.7682 0.9954 0.8965
Br14 Br 0.7785 0.3512 0.1019
Br15 Br 0.9334 0.6777 0.1069
Br16 Br 0.9954 0.7682 0.3965
```

=====

[4]
VASP calculation (PBE-GGA) on an optimized crystal structure of AgIBr2.

The value obtained for the excess energy over the best structure of this formula in the dataset is 0.2713 eV per atom. The calculation puts the total magnetization at 0.00 μB per cell.

CIF file:
```
data_AgIBr2
_cell_length_a 6.8306
_cell_length_b 6.8306
_cell_length_c 6.8306
_cell_angle_alpha 105.30
_cell_angle_beta 105.30
_cell_angle_gamma 118.18
_symmetry_space_group_name_H-M 'P 1'
_symmetry_Int_Tables_number 1
loop_
_symmetry_equiv_pos_as_xyz
'x,y,z'
loop_
_atom_site_label
_atom_site_type_symbol
_atom_site_fract_x
_atom_site_fract_y
_atom_site_fract_z
Ag1 Ag 0.0000 0.0000 0.0000
Ag2 Ag 0.7500 0.2500 0.5000
I1 I 0.2500 0.7500 0.5000
I2 I 0.5000 0.5000 0.0000
Br1 Br 0.0526 0.6250 0.9276
Br2 Br 0.3750 0.3026 0.4276
Br3 Br 0.6974 0.1250 0.0724
Br4 Br 0.8750 0.9474 0.5724
```

=====

[5]
VASP calculation (PBE-GGA) on an optimized crystal structure of AgI2Br8.

The value obtained for the excess energy over the best structure of this formula in the dataset is 0.0000 eV per atom. The calculation puts the total magnetization at 0.00 μB per cell.

CIF file:
```
data_AgI2Br8
_cell_length_a 11.3863
_cell_length_b 11.3863
_cell_length_c 13.7915
_cell_angle_alpha 124.15
_cell_angle_beta 124.15
_cell_angle_gamma 51.31
_symmetry_space_group_name_H-M 'P 1'
_symmetry_Int_Tables_number 1
loop_
_symmetry_equiv_pos_as_xyz
'x,y,z'
loop_
_atom_site_label
_atom_site_type_symbol
_atom_site_fract_x
_atom_site_fract_y
_atom_site_fract_z
Ag1 Ag 0.0822 0.9178 0.7500
Ag2 Ag 0.9178 0.0822 0.2500
I1 I 0.2831 0.5457 0.8781
I2 I 0.4543 0.7169 0.6219
I3 I 0.5457 0.2831 0.3781
I4 I 0.7169 0.4543 0.1219
Br1 Br 0.0560 0.2176 0.8481
Br2 Br 0.1061 0.6653 0.0258
Br3 Br 0.1452 0.7717 0.5437
Br4 Br 0.2176 0.0560 0.3481
Br5 Br 0.2283 0.8548 0.9563
Br6 Br 0.2476 0.3561 0.3046
Br7 Br 0.3347 0.8939 0.4742
Br8 Br 0.3561 0.2476 0.8046
Br9 Br 0.6439 0.7524 0.1954
Br10 Br 0.6653 0.1061 0.5258
Br11 Br 0.7524 0.6439 0.6954
Br12 Br 0.7717 0.1452 0.0437
Br13 Br 0.7824 0.9440 0.6519
Br14 Br 0.8548 0.2283 0.4563
Br15 Br 0.8939 0.3347 0.9742
Br16 Br 0.9440 0.7824 0.1519
```

=====

[6]
VASP calculation (PBE-GGA) on an optimized crystal structure of AgIBr2.

The value obtained for the excess energy over the best structure of this formula in the dataset is 0.0010 eV per atom. The calculation puts the total magnetization at 0.00 μB per cell.

CIF file:
```
data_AgIBr2
_cell_length_a 8.7178
_cell_length_b 8.7178
_cell_length_c 8.7178
_cell_angle_alpha 29.30
_cell_angle_beta 29.30
_cell_angle_gamma 29.30
_symmetry_space_group_name_H-M 'P 1'
_symmetry_Int_Tables_number 1
loop_
_symmetry_equiv_pos_as_xyz
'x,y,z'
loop_
_atom_site_label
_atom_site_type_symbol
_atom_site_fract_x
_atom_site_fract_y
_atom_site_fract_z
Ag1 Ag 0.0000 0.0000 0.0000
I1 I 0.5000 0.5000 0.5000
Br1 Br 0.3901 0.3901 0.3901
Br2 Br 0.6099 0.6099 0.6099
```

=====

| no. | N(E_F) (states/eV/cell) |
| --- | --- |
| 1 | 2.121 |
| 2 | 16.325 |
| 3 | 14.211 |
| 4 | 12.604 |
| 5 | 12.007 |
| 6 | 0.000 |